{"formula": "La6GeP2Se3", "functional": "PBE", "state": "optimized geometry", "lattice": [[9.457, -2.162, 0.000], [9.457, 2.162, 0.000], [-2.059, 0.000, 8.424]], "species": ["La", "La", "La", "La", "La", "La", "Ge", "P", "P", "Se", "Se", "Se"], "frac_coords": [[0.004, 0.004, 0.246], [0.330, 0.330, 0.426], [0.335, 0.335, 0.907], [0.665, 0.665, 0.093], [0.670, 0.670, 0.574], [0.996, 0.996, 0.754], [0.500, 0.500, 0.000], [0.168, 0.168, 0.335], [0.832, 0.832, 0.665], [0.167, 0.167, 0.832], [0.500, 0.500, 0.500], [0.833, 0.833, 0.168]], "e_form_raw_mev_per_atom": -1731, "volume_a3_per_atom": 28.70}

---

{"formula": "TbTmMg", "functional": "PBE", "state": "optimized geometry", "lattice": [[5.416, 0.000, 0.000], [-2.708, 4.690, 0.000], [0.000, 0.000, 3.358]], "species": ["Tb", "Tm", "Mg"], "frac_coords": [[0.000, 0.000, 0.000], [0.333, 0.667, 0.573], [0.667, 0.333, 0.303]], "e_above_lowest_polymorph_ev_per_fu": 0.299, "volume_a3_per_atom": 28.44, "formation_energy_ev_per_atom": 0.048}